Record 1
OsCl3 | GGA-PBE | relaxed

```
8
Lattice="4.746 0.000 0.000 0.000 12.630 0.000 0.000 0.000 3.621" Properties=species:S:1:pos:R:3 pbc="T T T"
Os 0.000 0.000 0.000
Os 2.373 6.315 0.000
Cl 0.000 1.555 1.810
Cl 0.000 6.315 0.000
Cl 0.000 11.075 1.810
Cl 2.373 0.000 0.000
Cl 2.373 4.760 1.810
Cl 2.373 7.870 1.810
```

Formation energy from raw total energies ... -0.160 eV/atom
Space-group type ... Cmmm, No. 65

---

Record 2
OsCl3 | GGA-PBE | relaxed

```
8
Lattice="5.419 0.000 0.000 0.000 5.419 0.000 0.000 0.000 5.419" Properties=species:S:1:pos:R:3 pbc="T T T"
Os 0.000 0.000 0.000
Os 2.710 2.710 2.710
Cl 0.000 1.355 2.710
Cl 0.000 4.064 2.710
Cl 1.355 2.710 0.000
Cl 2.710 0.000 1.355
Cl 2.710 0.000 4.064
Cl 4.064 2.710 0.000
```

Formation energy from raw total energies ... 1.226 eV/atom
Space-group type ... Pm-3n, No. 223

---

- Look up the formation energy from raw total energies of the second one.
  1.226 eV/atom

---

- Which of these has the highest formation energy from raw total energies?
  number 2